{"formula": "Co2TcBr", "functional": "PBEsol", "state": "optimized geometry", "lattice_angstrom": [[4.209, 0.000, 0.000], [2.105, 3.645, 0.000], [2.105, 1.215, 3.437]], "species": ["Co", "Co", "Tc", "Br"], "fractional_positions": [[0.250, 0.250, 0.250], [0.750, 0.750, 0.750], [0.500, 0.500, 0.500], [0.000, 0.000, 0.000]], "spacegroup": "No. 225", "de_polymorph_ev_per_atom": 0.322, "dos_ef_per_ev_fu": 8.7, "e_form_raw_ev_per_fu": 4.23, "vol_a3_per_cell": 53, "mass_density_g_cm3": 9.3}